No. 1
DyEr6Co3 | PBE | optimized geometry

a b c (Å): 8.2915 8.2915 7.1539
angles (deg): 90.00 90.00 93.39
Closest atoms and distances in Å follow each position.
Fractional positions:
Dy: 0.1867 0.8133 0.5000  2 Co 2.87-2.88
Dy: 0.8133 0.1867 0.0000  2 Co 2.87-2.88
Er: 0.0018 0.5009 0.2457  2 Co 2.72-2.76
Er: 0.1687 0.8313 0.9984  4 Co 2.64-2.72
Er: 0.2145 0.2149 0.4989  1 Co 2.61
Er: 0.2149 0.2145 0.9989  1 Co 2.61
Er: 0.4918 0.5082 0.2482  4 Co 2.74-2.78
Er: 0.4991 0.9982 0.2457  2 Co 2.72-2.76
Er: 0.5009 0.0018 0.7457  2 Co 2.72-2.76
Er: 0.5082 0.4918 0.7482  4 Co 2.74-2.78
Er: 0.7851 0.7855 0.4989  1 Co 2.61
Er: 0.7855 0.7851 0.9989  1 Co 2.61
Er: 0.8313 0.1687 0.4984  4 Co 2.64-2.72
Er: 0.9982 0.4991 0.7457  2 Co 2.72-2.76
Co: 0.0009 0.9991 0.2489  6 Er 2.70-3.03, 2 Dy 2.87-2.88
Co: 0.2503 0.5290 0.9900  1 Co 2.51, 6 Er 2.61-2.78
Co: 0.4710 0.7497 0.9900  1 Co 2.51, 6 Er 2.61-2.78
Co: 0.5290 0.2503 0.4900  1 Co 2.51, 6 Er 2.61-2.78
Co: 0.7497 0.4710 0.4900  1 Co 2.51, 6 Er 2.61-2.78
Co: 0.9991 0.0009 0.7489  6 Er 2.70-3.03, 2 Dy 2.87-2.88

Values from the calculation:
Calculated volume, A^3/atom: 24.55
Energy of formation from the pure elements, meV per atom: -80

***

No. 2
TaSbCl3 | PBE | optimized geometry

a b c (Å): 4.9444 4.9444 4.9444
angles (deg): 90.00 90.00 90.00
Closest atoms and distances in Å follow each position.
Fractional positions:
Ta: 0.0000 0.0000 0.0000  6 Cl 2.47
Sb: 0.5000 0.5000 0.5000  12 Cl 3.50
Cl: 0.0000 0.0000 0.5000  2 Ta 2.47
Cl: 0.0000 0.5000 0.0000  2 Ta 2.47
Cl: 0.5000 0.0000 0.0000  2 Ta 2.47

Values from the calculation:
Calculated volume, A^3/atom: 24.17
Energy relative to the elements, uncorrected, kJ/mol of atoms: 1
ΔE to the lowest computed polymorph, eV per formula unit: 0.00

***

No. 3
SrEu2Sc | PBE | optimized geometry

a b c (Å): 13.3504 13.3504 13.3504
angles (deg): 15.77 15.77 15.77
Closest atoms and distances in Å follow each position.
Fractional positions:
Sr: 0.0000 0.0000 0.0000  6 Sr 3.66, 6 Eu 4.03
Eu: 0.4202 0.4202 0.4202  1 Sc 3.16
Eu: 0.5798 0.5798 0.5798  1 Sc 3.16
Sc: 0.5000 0.5000 0.5000  2 Eu 3.16

Values from the calculation:
Calculated volume, A^3/atom: 38.30
Energy of formation from the pure elements, meV per atom: 376
ΔE to the lowest computed polymorph, eV per formula unit: 0.99

***

No. 4
FeSi2Se | PBE | optimized geometry

a b c (Å): 4.4176 4.4176 4.4176
angles (deg): 123.21 123.21 84.53
Closest atoms and distances in Å follow each position.
Fractional positions:
Fe: 0.0000 0.0000 0.0000  4 Se 2.66, 8 Si 2.66-2.97
Si: 0.5000 0.5000 0.0000  4 Se 2.66, 4 Si 2.66, 4 Fe 2.97
Si: 0.7500 0.2500 0.5000  4 Fe 2.66, 4 Si 2.66, 4 Se 2.97
Se: 0.2500 0.7500 0.5000  4 Fe 2.66, 8 Si 2.66-2.97

Values from the calculation:
Calculated volume, A^3/atom: 14.43
Energy relative to the elements, uncorrected, kJ/mol of atoms: 50

***

No. 5
K2Na7In2 | PBE | optimized geometry

a b c (Å): 8.3103 8.3103 6.8885
angles (deg): 111.32 111.32 84.75
Closest atoms and distances in Å follow each position.
Fractional positions:
K: 0.1826 0.8174 0.0000  4 Na 3.55-3.75
K: 0.8174 0.1826 0.0000  4 Na 3.55-3.75
Na: 0.0000 0.0000 0.5000  4 Na 3.43, 2 In 3.44
Na: 0.0820 0.5699 0.3045  2 In 3.33-3.40, 3 Na 3.43-3.66, 1 K 3.55
Na: 0.4068 0.4068 0.6669  2 In 3.35-3.40, 2 Na 3.50
Na: 0.4301 0.9180 0.6955  2 In 3.33-3.40, 3 Na 3.43-3.66, 1 K 3.55
Na: 0.5699 0.0820 0.3045  2 In 3.33-3.40, 3 Na 3.43-3.66, 1 K 3.55
Na: 0.5932 0.5932 0.3331  2 In 3.35-3.40, 2 Na 3.50
Na: 0.9180 0.4301 0.6955  2 In 3.33-3.40, 3 Na 3.43-3.66, 1 K 3.55
In: 0.2774 0.2774 0.9966  7 Na 3.33-3.44
In: 0.7226 0.7226 0.0034  7 Na 3.33-3.44

Values from the calculation:
Calculated volume, A^3/atom: 37.49
Energy of formation from the pure elements, meV per atom: 6

***

No. 6
La2Zn2Cd3 | PBE | optimized geometry

a b c (Å): 5.8037 5.8037 7.1294
angles (deg): 99.04 99.04 47.44
Closest atoms and distances in Å follow each position.
Fractional positions:
La: 0.1184 0.1184 0.3432  5 Zn 3.13-3.31, 5 Cd 3.43-3.50
La: 0.8816 0.8816 0.6568  5 Zn 3.13-3.31, 5 Cd 3.43-3.50
Zn: 0.4121 0.4121 0.3384  1 Zn 2.71, 3 Cd 2.73-2.87
Zn: 0.5879 0.5879 0.6616  1 Zn 2.71, 3 Cd 2.73-2.87
Cd: 0.1991 0.1991 0.8590  2 Zn 2.87, 3 Cd 3.15-3.18
Cd: 0.5000 0.5000 0.0000  2 Zn 2.73
Cd: 0.8009 0.8009 0.1410  2 Zn 2.87, 3 Cd 3.15-3.18

Values from the calculation:
Calculated volume, A^3/atom: 24.89
Energy of formation from the pure elements, meV per atom: -277